# 1
# K3TiCl6 (PBE, relaxed)
# - ΔE_f (raw): -1832 meV/atom
# - Total magnetization: 4.000 μB per cell
# - Theoretical density: 2.2 g/cm3
# - DOS at the Fermi energy: 6.53 states/eV/f.u.
data_K3TiCl6
_symmetry_space_group_name_H-M 'P 1 21/c 1'
_symmetry_Int_Tables_number 14
_cell_length_a 12.8194
_cell_length_b 7.6714
_cell_length_c 12.2795
_cell_angle_alpha 90.00
_cell_angle_beta 108.00
_cell_angle_gamma 90.00
loop_
_symmetry_equiv_pos_as_xyz
'x,y,z'
'-x,-y,-z'
'-x,y+1/2,-z+1/2'
'x,-y+1/2,z+1/2'
loop_
_atom_site_label
_atom_site_fract_x
_atom_site_fract_y
_atom_site_fract_z
_atom_site_occupancy
K1 0.0888 0.0659 0.3502 1
K2 0.3176 0.5715 0.2685 1
K3 0.3196 0.0743 0.1182 1
Ti1 0.0000 0.0000 0.0000 1
Ti2 0.5000 0.0000 0.5000 1
Cl1 0.0912 0.2284 0.5952 1
Cl2 0.1200 0.5039 0.3831 1
Cl3 0.1296 0.6736 0.6496 1
Cl4 0.3521 0.2021 0.3986 1
Cl5 0.3614 0.7062 0.0091 1
Cl6 0.4988 0.1275 0.6845 1



# 2
# KTiCl2 (PBE, relaxed)
# - ΔE_f (raw): -955 meV/atom
# - Total magnetization: 6.796 μB per cell
# - Excess energy over the best structure of this formula in the dataset: 0 meV/atom
# - Theoretical density: 2.2 g/cm3
# - DOS at the Fermi energy: 11.13 states/eV/f.u.
data_KTiCl2
_symmetry_space_group_name_H-M 'R -3 m'
_symmetry_Int_Tables_number 166
_symmetry_space_group_name_Hall '-R 3 2"'
_cell_length_a 3.8993
_cell_length_b 3.8993
_cell_length_c 27.3276
_cell_angle_alpha 90.00
_cell_angle_beta 90.00
_cell_angle_gamma 120.00
loop_
_atom_site_label
_atom_site_fract_x
_atom_site_fract_y
_atom_site_fract_z
_atom_site_occupancy
K1 0.0000 0.0000 0.0000 1
Ti1 0.0000 0.0000 0.5000 1
Cl1 0.0000 0.0000 0.1176 1



# 3
# KTiCl4 (PBE, relaxed)
# - ΔE_f (raw): -1708 meV/atom
# - Total magnetization: 4.000 μB per cell
# - Excess energy over the best structure of this formula in the dataset: 6 meV/atom
# - Theoretical density: 2.0 g/cm3
# - DOS at the Fermi energy: 1.75 states/eV/f.u.
data_KTiCl4
_symmetry_space_group_name_H-M 'C 1 2/c 1'
_symmetry_Int_Tables_number 15
_cell_length_a 9.3301
_cell_length_b 12.0492
_cell_length_c 7.4925
_cell_angle_alpha 90.00
_cell_angle_beta 114.03
_cell_angle_gamma 90.00
loop_
_symmetry_equiv_pos_as_xyz
'x,y,z'
'-x,-y,-z'
'-x,y,-z+1/2'
'x,-y,z+1/2'
'x+1/2,y+1/2,z'
'-x+1/2,-y+1/2,-z'
'-x+1/2,y+1/2,-z+1/2'
'x+1/2,-y+1/2,z+1/2'
loop_
_atom_site_label
_atom_site_fract_x
_atom_site_fract_y
_atom_site_fract_z
_atom_site_occupancy
K1 0.0000 0.1391 0.2500 1
Ti1 0.0000 0.4981 0.7500 1
Cl1 0.0042 0.3620 0.4968 1
Cl2 0.2243 0.0043 0.1090 1



> What is the formula in the third record?

KTiCl4



> What is the formula in the first record?

K3TiCl6